Material: MgPtSe
Method: DFT, PBE
State: relaxed

It has space group P3m1 (No. 156), with a = 4.2733 Å, b = 4.2733 Å, c = 3.6495 Å, α = 90.00°, β = 90.00° and γ = 120.00°. Symmetry generates all atoms from Mg at (0.0000, 0.0000, 0.0000), Pt at (0.6667, 0.3333, 0.4436) and Se at (0.3333, 0.6667, 0.5174).

The calculation puts the energy relative to the elements, uncorrected at -0.462 eV per atom. For the size of the total moment, the calculation gives 0.00 μB per cell. The value obtained for the calculated density is 8.6 g/cm³. The calculation puts the total energy at -12.5 eV/cell. For the density of states at the Fermi level, the calculation gives 0.9 states/eV per cell.